VASP calculation (GGA-PBE) on a relaxed structure of MgSn2As2.

Computed properties:
Distance to the lowest polymorph of the same formula = 69 meV/atom

Structure (CIF):
```
data_MgSn2As2
_chemical_formula_sum 'Mg1 Sn2 As2'
_cell_length_a 5.692
_cell_length_b 5.692
_cell_length_c 5.692
_cell_angle_alpha 120.59
_cell_angle_beta 120.59
_cell_angle_gamma 88.98
_space_group_name_H-M_alt 'P 1'
_space_group_IT_number 1
loop_
_space_group_symop_operation_xyz
'x,y,z'
loop_
_atom_site_label
_atom_site_type_symbol
_atom_site_fract_x
_atom_site_fract_y
_atom_site_fract_z
Mg1 Mg 0.000 0.000 0.000
Sn1 Sn 0.250 0.750 0.500
Sn2 Sn 0.750 0.250 0.500
As1 As 0.327 0.327 0.000
As2 As 0.673 0.673 0.000
```

---

VASP calculation (GGA-PBE) on a relaxed structure of SrMn2Ir.

Structure (CIF):
```
data_SrMn2Ir
_chemical_formula_sum 'Sr1 Mn2 Ir1'
_cell_length_a 4.796
_cell_length_b 4.796
_cell_length_c 4.796
_cell_angle_alpha 60.00
_cell_angle_beta 60.00
_cell_angle_gamma 60.00
_space_group_name_H-M_alt 'P 1'
_space_group_IT_number 1
loop_
_space_group_symop_operation_xyz
'x,y,z'
loop_
_atom_site_label
_atom_site_type_symbol
_atom_site_fract_x
_atom_site_fract_y
_atom_site_fract_z
Sr1 Sr 0.000 0.000 0.000
Mn1 Mn 0.250 0.250 0.250
Mn2 Mn 0.500 0.500 0.500
Ir1 Ir 0.750 0.750 0.750
```

---

VASP calculation (GGA-PBE) on a relaxed structure of SrCa2TmIn4.

Structure (CIF):
```
data_SrCa2TmIn4
_chemical_formula_sum 'Sr1 Ca2 Tm1 In4'
_cell_length_a 9.509
_cell_length_b 9.509
_cell_length_c 9.509
_cell_angle_alpha 33.41
_cell_angle_beta 33.41
_cell_angle_gamma 33.41
_space_group_name_H-M_alt 'P 1'
_space_group_IT_number 1
loop_
_space_group_symop_operation_xyz
'x,y,z'
loop_
_atom_site_label
_atom_site_type_symbol
_atom_site_fract_x
_atom_site_fract_y
_atom_site_fract_z
Sr1 Sr 0.000 0.000 0.000
Ca1 Ca 0.250 0.250 0.250
Ca2 Ca 0.750 0.750 0.750
Tm1 Tm 0.500 0.500 0.500
In1 In 0.128 0.128 0.128
In2 In 0.381 0.381 0.381
In3 In 0.619 0.619 0.619
In4 In 0.872 0.872 0.872
```

---

VASP calculation (GGA-PBE) on a relaxed structure of CaTbY2Au4.

Structure (CIF):
```
data_CaTbY2Au4
_chemical_formula_sum 'Ca1 Tb1 Y2 Au4'
_cell_length_a 8.882
_cell_length_b 8.882
_cell_length_c 8.882
_cell_angle_alpha 33.36
_cell_angle_beta 33.36
_cell_angle_gamma 33.36
_space_group_name_H-M_alt 'P 1'
_space_group_IT_number 1
loop_
_space_group_symop_operation_xyz
'x,y,z'
loop_
_atom_site_label
_atom_site_type_symbol
_atom_site_fract_x
_atom_site_fract_y
_atom_site_fract_z
Ca1 Ca 0.000 0.000 0.000
Tb1 Tb 0.500 0.500 0.500
Y1 Y 0.252 0.252 0.252
Y2 Y 0.748 0.748 0.748
Au1 Au 0.130 0.130 0.130
Au2 Au 0.379 0.379 0.379
Au3 Au 0.621 0.621 0.621
Au4 Au 0.870 0.870 0.870
```

---

no.,energy relative to the elements (kJ per mole of atoms),DOS(E_F) (states/eV/atom)
1,4,0.352
2,57,1.010
3,-41,0.628
4,-81,0.523